No. 1
Below is crystalline Li3Y2NpS6 at its relaxed geometry, with properties calculated at the PBE level.

Lattice parameters (Å, degrees): 6.8080 6.8080 6.5820 99.90 99.90 119.99
With the nearest neighbours (Å) after each atom.
Element x y z (fractional)
Li: 0.1684 0.8316 0.5000  6 S 2.71-2.76
Li: 0.8316 0.1684 0.5000  6 S 2.71-2.76
Li: 0.5000 0.5000 0.5000  6 S 2.73-2.75
Y: 0.3340 0.6660 0.0000  6 S 2.75
Y: 0.6660 0.3340 0.0000  6 S 2.75
Np: 0.0000 0.0000 0.0000  6 S 2.76
S: 0.9163 0.5810 0.7480  3 Li 2.71-2.75, 2 Y 2.75, 1 Np 2.76
S: 0.7492 0.7492 0.2527  3 Li 2.73-2.76, 2 Y 2.75, 1 Np 2.76
S: 0.0837 0.4190 0.2520  3 Li 2.71-2.75, 2 Y 2.75, 1 Np 2.76
S: 0.5810 0.9163 0.7480  3 Li 2.71-2.75, 2 Y 2.75, 1 Np 2.76
S: 0.2508 0.2508 0.7473  3 Li 2.73-2.76, 2 Y 2.75, 1 Np 2.76
S: 0.4190 0.0837 0.2520  3 Li 2.71-2.75, 2 Y 2.75, 1 Np 2.76

Calculated values
- N(E_F): 0.737 states/eV per atom
- Raw formation energy: -1930.9 kJ/mol of formula units



No. 2
Below is crystalline VFeC2 at its relaxed geometry, with properties calculated at the PBE level.

Lattice parameters (Å, degrees): 4.3490 4.3490 5.4309 66.40 66.40 90.00
With the nearest neighbours (Å) after each atom.
Element x y z (fractional)
C: 0.6507 0.1250 0.2500  2 Fe 1.84, 2 V 1.97
C: 0.0993 0.6250 0.2500  2 Fe 1.84, 2 V 1.97
C: 0.3750 0.3493 0.7500  2 Fe 1.84, 2 V 1.97
C: 0.8750 0.9007 0.7500  2 Fe 1.84, 2 V 1.97
Fe: 0.0000 0.0000 0.0000  4 C 1.84
Fe: 0.7500 0.2500 0.5000  4 C 1.84
V: 0.5000 0.5000 0.0000  4 C 1.97
V: 0.2500 0.7500 0.5000  4 C 1.97

Calculated values
- N(E_F): 0.867 states/eV per atom
- Formation enthalpy at 0 K: 0.409 eV per atom



No. 3
Below is crystalline LiPuHfO6 at its relaxed geometry, with properties calculated at the PBE level.

Lattice parameters (Å, degrees): 4.9194 4.9194 9.5079 90.00 90.00 90.00
With the nearest neighbours (Å) after each atom.
Element x y z (fractional)
Li: 0.5000 0.5000 0.5010  6 O 2.17-2.21
Li: 0.0000 0.0000 0.0010  6 O 2.17-2.21
Pu: 0.5000 0.5000 0.8313  6 O 2.00-2.04
Pu: 0.0000 0.0000 0.3313  6 O 2.00-2.04
Hf: 0.5000 0.5000 0.1727  6 O 2.05-2.12
Hf: 0.0000 0.0000 0.6727  6 O 2.05-2.12
O: 0.1828 0.8172 0.4939  1 Pu 2.00, 1 Hf 2.12, 1 Li 2.21
O: 0.8172 0.1828 0.4939  1 Pu 2.00, 1 Hf 2.12, 1 Li 2.21
O: 0.3172 0.3172 0.9939  1 Pu 2.00, 1 Hf 2.12, 1 Li 2.21
O: 0.6828 0.6828 0.9939  1 Pu 2.00, 1 Hf 2.12, 1 Li 2.21
O: 0.1983 0.8017 0.1773  1 Pu 2.01, 1 Hf 2.10, 1 Li 2.17
O: 0.8017 0.1983 0.1773  1 Pu 2.01, 1 Hf 2.10, 1 Li 2.17
O: 0.3017 0.3017 0.6773  1 Pu 2.01, 1 Hf 2.10, 1 Li 2.17
O: 0.6983 0.6983 0.6773  1 Pu 2.01, 1 Hf 2.10, 1 Li 2.17
O: 0.7929 0.2071 0.8263  1 Pu 2.04, 1 Hf 2.05, 1 Li 2.20
O: 0.2071 0.7929 0.8263  1 Pu 2.04, 1 Hf 2.05, 1 Li 2.20
O: 0.7071 0.7071 0.3263  1 Pu 2.04, 1 Hf 2.05, 1 Li 2.20
O: 0.2929 0.2929 0.3263  1 Pu 2.04, 1 Hf 2.05, 1 Li 2.20

Calculated values
- Raw formation energy: -2280.6 kJ/mol of formula units



No. 4
Below is crystalline K2MgFeS at its relaxed geometry, with properties calculated at the PBE level.

Lattice parameters (Å, degrees): 6.0998 4.8892 6.0998 90.00 90.00 90.00
With the nearest neighbours (Å) after each atom.
Element x y z (fractional)
S: 0.0000 0.0000 0.0000  2 Mg 2.44
K: 0.0000 0.0000 0.5000  2 S 3.05
K: 0.5000 0.0000 0.0000  2 S 3.05
Mg: 0.0000 0.5000 0.0000  2 S 2.44
Fe: 0.5000 0.5000 0.5000  8 K 3.91, 4 Mg 4.31

Calculated values
- N(E_F): 1.239 states/eV per atom
- Raw formation energy: 118.1 kJ/mol of formula units



No. 5
Below is crystalline LiAgSnRh at its relaxed geometry, with properties calculated at the PBE level.

Lattice parameters (Å, degrees): 4.5329 4.5329 4.5329 60.00 60.00 60.00
With the nearest neighbours (Å) after each atom.
Element x y z (fractional)
Rh: 0.0000 0.0000 0.0000  4 Sn 2.78, 4 Ag 2.78
Sn: 0.2500 0.2500 0.2500  4 Li 2.78, 4 Rh 2.78
Ag: 0.7500 0.7500 0.7500  4 Li 2.78, 4 Rh 2.78
Li: 0.5000 0.5000 0.5000  4 Sn 2.78, 4 Ag 2.78

Calculated values
- N(E_F): 0.346 states/eV per atom
- Formation enthalpy at 0 K: -0.338 eV per atom



No. 6
Below is crystalline CaHg4 at its relaxed geometry, with properties calculated at the PBE level.

Lattice parameters (Å, degrees): 6.1626 6.1626 6.1626 90.00 90.00 90.00
With the nearest neighbours (Å) after each atom.
Element x y z (fractional)
Ca: 0.5000 0.5000 0.5000  6 Hg 3.08
Hg: 0.0000 0.0000 0.0000  12 Hg 4.36
Hg: 0.5000 0.0000 0.5000  2 Ca 3.08
Hg: 0.0000 0.5000 0.5000  2 Ca 3.08
Hg: 0.5000 0.5000 0.0000  2 Ca 3.08

Calculated values
- N(E_F): 0.750 states/eV per atom
- Formation enthalpy at 0 K: 0.118 eV per atom



Copy entry 4 word for word.
Below is crystalline K2MgFeS at its relaxed geometry, with properties calculated at the PBE level.

Lattice parameters (Å, degrees): 6.0998 4.8892 6.0998 90.00 90.00 90.00
With the nearest neighbours (Å) after each atom.
Element x y z (fractional)
S: 0.0000 0.0000 0.0000  2 Mg 2.44
K: 0.0000 0.0000 0.5000  2 S 3.05
K: 0.5000 0.0000 0.0000  2 S 3.05
Mg: 0.0000 0.5000 0.0000  2 S 2.44
Fe: 0.5000 0.5000 0.5000  8 K 3.91, 4 Mg 4.31

Calculated values
- N(E_F): 1.239 states/eV per atom
- Raw formation energy: 118.1 kJ/mol of formula units